LiCoRe2Os, relaxed, DFT PBE; energy relative to the lowest polymorph listed for this composition = 0.044 eV per atom; N(E_F) = 4.30 states/eV/f.u.; DFT formation energy = 7.1 eV per formula unit; SG = P4/mmm
1.0
-0.416 -4.027 0.298
0.122 -0.310 -4.023
4.036 -0.405 0.154
Co Li Os Re
1 1 1 2
Cartesian
1.871 -2.371 -1.786
0.000 0.000 0.000
0.061 -0.155 -2.011
-0.208 -2.014 0.149
2.018 -0.203 0.077


LiCoOsRh, relaxed, DFT PBE; N(E_F) = 3.80 states/eV/f.u.; DFT formation energy = 0.8 eV per formula unit; SG = F-43m
1.0
4.188 0.000 0.000
2.094 3.627 0.000
2.094 1.209 3.420
Os Li Co Rh
1 1 1 1
Cartesian
2.094 1.209 0.855
6.283 3.627 2.565
4.188 2.418 1.710
0.000 0.000 0.000


LiUCoOs, relaxed, DFT PBE; N(E_F) = 4.46 states/eV/f.u.; DFT formation energy = 0.4 eV per formula unit; SG = F-43m
1.0
4.442 0.000 0.000
2.221 3.847 0.000
2.221 1.282 3.627
U Os Co Li
1 1 1 1
Cartesian
6.663 3.847 2.720
0.000 0.000 0.000
4.442 2.565 1.813
2.221 1.282 0.907


LiCoOsW, relaxed, DFT PBE; N(E_F) = 1.16 states/eV/f.u.; DFT formation energy = 0.2 eV per formula unit; SG = F-43m
1.0
-2.448 -0.006 -3.421
-0.557 -3.553 -2.182
-3.723 -1.956 0.081
Li Os Co W
1 1 1 1
Cartesian
0.000 0.000 0.000
-1.682 -1.379 -1.380
-5.047 -4.136 -4.141
-3.364 -2.758 -2.761


LiCoP4, relaxed, DFT PBE; N(E_F) = 4.40 states/eV/f.u.; DFT formation energy = 2.8 eV per formula unit; SG = F-43m
1.0
-4.997 -0.269 0.129
-2.676 3.908 1.619
-2.735 2.672 -3.231
Li P Co
1 4 1
Cartesian
0.000 0.000 0.000
-3.928 2.382 -0.559
-5.269 3.692 -2.144
-5.240 4.298 0.235
-6.378 2.250 -0.496
-7.806 4.733 -1.112


Li3CoP, relaxed, DFT PBE; energy relative to the lowest polymorph listed for this composition = 0.000 eV per atom; N(E_F) = 9.24 states/eV/f.u.; DFT formation energy = 1.7 eV per formula unit; SG = Pm-3m
1.0
-1.512 -1.294 -4.137
0.704 -4.397 1.118
-4.277 -0.266 1.646
Li P Co
3 1 1
Cartesian
-2.139 -0.133 0.823
-0.756 -0.647 -2.069
0.352 -2.198 0.559
0.000 0.000 0.000
-2.543 -2.979 -0.687


Li2CoP, relaxed, DFT PBE; N(E_F) = 3.14 states/eV/f.u.; DFT formation energy = -1.1 eV per formula unit; SG = P4/mmm
1.0
3.375 0.000 0.000
0.000 3.376 0.000
0.000 0.000 3.991
P Li Co
1 2 1
Cartesian
1.687 0.000 1.995
0.000 0.000 0.000
1.687 1.688 0.000
0.000 1.688 1.995


Li6Co6P, relaxed, DFT PBE; N(E_F) = 11.50 states/eV/f.u.; DFT formation energy = 3.1 eV per formula unit; SG = P6/mmm
1.0
4.687 0.000 0.000
-2.343 4.058 0.000
0.000 0.000 9.031
Co Li P
6 6 1
Cartesian
2.343 0.000 2.184
1.172 2.029 2.185
2.343 0.000 6.847
1.172 2.029 6.846
-1.172 2.029 6.846
-1.172 2.029 2.185
2.343 1.353 4.516
0.000 2.706 4.516
2.343 1.353 0.000
0.000 0.000 5.924
0.000 0.000 3.107
0.000 2.705 0.000
0.000 0.000 0.000


Li2CoP, relaxed, DFT PBE; N(E_F) = 3.41 states/eV/f.u.; DFT formation energy = 0.2 eV per formula unit; SG = R-3m
1.0
8.603 -0.002 -0.001
8.206 2.584 -0.001
8.206 1.261 2.256
Li P Co
2 1 1
Cartesian
24.907 3.827 2.244
12.614 1.938 1.137
6.254 0.961 0.563
18.761 2.882 1.690


Li2CoP, relaxed, DFT PBE; N(E_F) = 2.03 states/eV/f.u.; DFT formation energy = -0.7 eV per formula unit; SG = C2/m
1.0
-1.724 -3.019 -2.512
3.192 -1.821 3.055
-1.660 -1.382 1.591
Li P Co
2 1 1
Cartesian
0.000 0.000 0.000
-1.692 -2.201 -0.460
0.766 -1.602 2.323
0.734 -2.420 0.271


Li2CoP2, relaxed, DFT PBE; N(E_F) = 1.55 states/eV/f.u.; DFT formation energy = -3.3 eV per formula unit; SG = P4/mbm
1.0
-5.183 -0.271 2.250
-0.124 -5.574 -0.957
1.652 -0.676 3.724
Li P Co
4 4 2
Cartesian
-2.781 -5.113 2.595
-0.874 -1.408 2.422
-0.171 -4.155 1.611
-3.484 -2.366 3.405
-4.543 -3.794 1.326
-0.764 -2.051 -0.033
-3.328 -0.946 1.304
-1.979 -4.898 -0.011
0.000 0.000 0.000
-2.654 -2.922 0.646


LiCo6P4, relaxed, DFT PBE; N(E_F) = 6.10 states/eV/f.u.; DFT formation energy = -7.1 eV per formula unit; SG = P-6m2
1.0
-5.288 -2.365 3.057
0.319 -0.099 -6.541
1.409 -3.002 0.114
Co P Li
6 4 1
Cartesian
-0.097 -2.053 -4.566
-0.225 -2.013 -1.946
-2.812 -1.275 1.166
-2.215 -3.000 -3.342
-2.687 -1.314 -1.395
-4.757 -2.240 -0.198
-3.555 -3.450 1.353
-1.550 -0.854 -3.342
-1.177 -2.387 -0.021
-3.411 -3.495 -1.588
0.319 -0.099 -6.541


Li2Co12P7, relaxed, DFT PBE; N(E_F) = 10.80 states/eV/f.u.; DFT formation energy = -13.5 eV per formula unit; SG = P-6
1.0
8.904 0.000 0.000
-4.452 7.712 0.000
0.000 0.000 3.455
Li P Co
2 7 12
Cartesian
0.000 5.141 1.728
0.000 0.000 0.000
4.452 2.571 0.000
0.759 7.115 0.000
1.330 3.497 0.000
2.100 0.322 1.728
-2.089 4.811 0.000
7.576 1.658 1.728
3.681 5.732 1.728
6.206 1.375 0.000
2.194 7.319 1.728
6.108 3.359 1.728
2.942 3.610 1.728
4.611 4.687 0.000
-1.408 6.893 0.000
-0.813 3.045 0.000
-2.984 5.952 1.728
0.789 2.152 1.728
4.307 0.742 1.728
2.540 1.650 0.000
2.222 5.485 0.000


Li2CoP, relaxed, DFT PBE; N(E_F) = 2.85 states/eV/f.u.; DFT formation energy = -1.0 eV per formula unit; SG = Pm
1.0
3.570 0.000 0.000
0.000 2.663 0.042
0.000 1.223 4.988
Li P Co
2 1 1
Cartesian
1.785 1.468 1.217
0.000 0.161 0.125
0.000 1.439 2.739
1.785 2.759 3.463


Li2CoP, relaxed, DFT PBE; N(E_F) = 3.40 states/eV/f.u.; DFT formation energy = -1.8 eV per formula unit; SG = R3m
1.0
3.805 -0.007 0.001
1.910 3.291 0.001
1.900 1.092 4.104
Li Co P
2 1 1
Cartesian
5.713 3.283 2.932
5.713 3.283 0.162
1.903 1.094 1.496
3.808 2.188 1.570


Li2Co2P, relaxed, DFT PBE; N(E_F) = 3.13 states/eV/f.u.; DFT formation energy = -1.5 eV per formula unit; SG = P4/mbm
1.0
-3.616 4.068 -0.809
-0.967 -1.871 -5.084
-3.105 -2.463 1.497
Li Co P
4 4 2
Cartesian
-2.812 -1.794 -2.792
-4.876 1.529 -1.605
-4.776 -0.062 -4.016
-2.912 -0.203 -0.380
-3.713 2.266 -3.976
-2.477 2.355 -1.265
-2.106 -0.158 -4.628
-0.870 -0.068 -1.918
0.000 0.000 0.000
-2.291 1.099 -2.947


Li2CoP, relaxed, DFT PBE; N(E_F) = 1.45 states/eV/f.u.; DFT formation energy = -0.2 eV per formula unit; SG = P4/mmm
1.0
-1.677 1.222 1.412
-1.862 -1.230 -1.148
0.425 -5.789 5.513
Li Co P
2 1 1
Cartesian
0.005 -0.073 0.069
0.207 -2.822 2.687
-1.451 -4.346 4.267
-1.663 -1.451 1.510


Li3CoP, relaxed, DFT PBE; energy relative to the lowest polymorph listed for this composition = 0.324 eV per atom; N(E_F) = 5.61 states/eV/f.u.; DFT formation energy = 3.3 eV per formula unit; SG = Pm-3m
1.0
-2.239 1.940 -3.291
-3.816 -0.956 2.032
0.179 3.863 2.156
Li P Co
3 1 1
Cartesian
-1.908 -0.478 1.016
0.090 1.932 1.078
-1.119 0.970 -1.645
-2.938 2.424 0.448
0.000 0.000 0.000


Li2CoP, relaxed, DFT PBE; N(E_F) = 2.43 states/eV/f.u.; DFT formation energy = -1.0 eV per formula unit; SG = Immm
1.0
4.776 -0.023 -0.023
2.459 4.095 0.023
-3.367 -2.481 2.307
Li Co P
2 1 1
Cartesian
7.193 4.048 0.000
3.659 2.059 0.000
1.355 1.825 1.165
2.513 -0.234 1.142


LiCo3P, relaxed, DFT PBE; energy relative to the lowest polymorph listed for this composition = 0.000 eV per atom; N(E_F) = 6.07 states/eV/f.u.; DFT formation energy = 0.8 eV per formula unit; SG = Pm-3m
1.0
4.161 0.000 0.000
0.000 4.161 0.000
0.000 0.000 4.161
Co Li P
3 1 1
Cartesian
0.000 0.000 2.081
2.081 0.000 0.000
0.000 2.081 0.000
2.081 2.081 2.081
0.000 0.000 0.000


LiCo3P, relaxed, DFT PBE; energy relative to the lowest polymorph listed for this composition = 0.818 eV per atom; N(E_F) = 11.16 states/eV/f.u.; DFT formation energy = 4.9 eV per formula unit; SG = Pm-3m
1.0
-2.058 -0.977 -3.116
1.014 -3.693 0.488
-3.105 -0.559 2.225
P Co Li
1 3 1
Cartesian
-2.074 -2.614 -0.202
-1.552 -0.279 1.113
0.507 -1.846 0.244
-1.029 -0.489 -1.558
0.000 0.000 0.000


Li2CoP, relaxed, DFT PBE; N(E_F) = 2.27 states/eV/f.u.; DFT formation energy = -0.7 eV per formula unit; SG = Pmmm
1.0
-0.205 -0.989 2.489
1.780 -3.374 -1.195
4.009 1.751 1.027
Li P Co
2 1 1
Cartesian
1.997 0.872 0.511
0.008 0.003 0.002
1.790 -1.744 0.904
3.794 -0.869 1.417


Li2CoP, relaxed, DFT PBE; N(E_F) = 1.70 states/eV/f.u.; DFT formation energy = -0.7 eV per formula unit; SG = P2/m
1.0
-1.540 2.584 2.941
-2.531 -0.500 -0.886
-1.364 -3.366 2.244
P Li Co
1 2 1
Cartesian
-1.744 0.325 1.810
-0.128 -0.045 -0.028
-1.819 -1.889 0.707
-3.691 -1.608 2.489


Li2CoP, relaxed, DFT PBE; N(E_F) = 2.26 states/eV/f.u.; DFT formation energy = -0.2 eV per formula unit; SG = I-42d
1.0
-2.649 -0.789 1.838
-0.042 -3.028 -1.361
3.923 -4.831 6.577
P Li Co
2 4 2
Cartesian
1.267 -4.883 2.728
-1.346 -1.908 0.239
0.601 -3.205 1.039
-0.659 -2.073 2.608
0.587 -6.938 5.362
1.932 -5.079 5.101
-0.036 -3.764 4.327
0.000 0.000 0.000


Li2CoP, relaxed, DFT PBE; N(E_F) = 2.23 states/eV/f.u.; DFT formation energy = -1.3 eV per formula unit; SG = Pmm2
1.0
-0.214 0.245 2.813
2.177 -1.926 0.333
4.470 5.036 -0.097
Co P Li
1 1 2
Cartesian
4.074 2.644 1.506
2.467 2.779 -0.054
4.255 4.794 -0.093
2.342 0.692 1.543


Li2CoP, relaxed, DFT PBE; N(E_F) = 2.12 states/eV/f.u.; DFT formation energy = -0.6 eV per formula unit; SG = Cmmm
1.0
-1.219 4.162 -1.586
-2.108 -1.970 3.605
1.768 1.152 1.663
Co Li P
1 2 1
Cartesian
-0.170 -0.409 2.634
0.000 0.000 0.000
-1.664 1.096 1.010
0.274 2.657 0.039


Li4CoP, relaxed, DFT PBE; energy relative to the lowest polymorph listed for this composition = 0.431 eV per atom; N(E_F) = 1.39 states/eV/f.u.; DFT formation energy = 1.0 eV per formula unit; SG = F-43m
1.0
0.000 3.236 3.236
3.236 0.000 3.236
3.236 3.236 0.000
Li P Co
4 1 1
Cartesian
2.422 2.422 4.049
2.422 4.049 2.422
4.049 4.049 4.049
4.049 2.422 2.422
1.618 1.618 1.618
0.000 0.000 0.000